NpUTcRu | GGA-PBE | relaxed

Unit cell a=6.730 b=6.730 c=6.730 alpha=90.00 beta=90.00 gamma=90.00
Atoms (fractional coordinates):
Np 0.000 0.000 0.000
Np 0.000 0.500 0.500
Np 0.500 0.000 0.500
Np 0.500 0.500 0.000
U 0.000 0.000 0.500
U 0.000 0.500 0.000
U 0.500 0.000 0.000
U 0.500 0.500 0.500
Tc 0.250 0.250 0.250
Tc 0.250 0.750 0.750
Tc 0.750 0.250 0.750
Tc 0.750 0.750 0.250
Ru 0.250 0.250 0.750
Ru 0.250 0.750 0.250
Ru 0.750 0.250 0.250
Ru 0.750 0.750 0.750

Summary:
Calculated total energy   -10.9306 eV/atom
Spin magnetization   1.15 μB per atom
Density of states at the Fermi level   29.103 states/eV/cell


CaCuBiB2 | GGA-PBE | relaxed

Unit cell a=4.730 b=4.730 c=5.941 alpha=90.00 beta=90.00 gamma=90.00
Atoms (fractional coordinates):
Ca 0.000 0.000 0.000
Cu 0.500 0.500 0.500
Bi 0.000 0.000 0.500
B 0.000 0.500 0.000
B 0.500 0.000 0.000

Summary:
Calculated total energy   -2.5153 eV/atom
Spin magnetization   0.11 μB per atom
Density of states at the Fermi level   4.008 states/eV/cell


Pm3Ge2Pd3 | GGA-PBE | relaxed

Unit cell a=5.715 b=5.715 c=15.097 alpha=90.00 beta=90.00 gamma=134.87
Atoms (fractional coordinates):
Pm 0.084 0.916 0.603
Pm 0.084 0.916 0.897
Pm 0.378 0.622 0.750
Pm 0.622 0.378 0.250
Pm 0.916 0.084 0.103
Pm 0.916 0.084 0.397
Ge 0.205 0.795 0.105
Ge 0.205 0.795 0.395
Ge 0.795 0.205 0.605
Ge 0.795 0.205 0.895
Pd 0.335 0.665 0.250
Pd 0.373 0.627 0.538
Pd 0.373 0.627 0.962
Pd 0.627 0.373 0.038
Pd 0.627 0.373 0.462
Pd 0.665 0.335 0.750

Summary:
E above lowest polymorph   18 meV/atom
Calculated total energy   -5.7423 eV/atom
Spin magnetization   0.00 μB per atom
Density of states at the Fermi level   10.335 states/eV/cell